This record from Alexandria via LeMat-Bulk describes Mn2CrIn at its PBEsol-relaxed geometry. The functional is meta-GGA SCAN.

Computed properties:
- Fermi-level density of states (states/eV per atom) = 0.687
- spin magnetization (μB per atom) = 0.745
- uncorrected energy (eV/atom) = -22.061
- energy of formation (kJ/mol of formula units) = 4

Cell lengths 2.8822, 4.4739, 4.4739 Å; angles 103.18, 90.00, 90.00 degrees
Fractional positions:
Mn  0.0000  0.0000  0.5000
Mn  0.0000  0.5000  0.0000
Cr  0.5000  0.0000  0.0000
In  0.5000  0.5000  0.5000

=====

This record from Alexandria via LeMat-Bulk describes Mn2CrIn at its PBEsol-relaxed geometry. The functional is meta-GGA SCAN.

Computed properties:
- Fermi-level density of states (states/eV per atom) = 0.843
- spin magnetization (μB per atom) = 0.826
- uncorrected energy (eV/atom) = -22.061
- energy of formation (kJ/mol of formula units) = 3

Cell lengths 3.9502, 3.5554, 3.9524 Å; angles 90.00, 90.00, 90.00 degrees
Fractional positions:
Mn  0.5000  0.0000  0.5000
Mn  0.0000  0.0000  0.0000
Cr  0.5000  0.5000  0.0000
In  0.0000  0.5000  0.5000

=====

This record from Alexandria via LeMat-Bulk describes CrInMo2 at its PBEsol-relaxed geometry. The functional is meta-GGA SCAN.

Computed properties:
- Fermi-level density of states (states/eV per atom) = 0.465
- spin magnetization (μB per atom) = 0.263
- uncorrected energy (eV/atom) = -30.162
- energy of formation (kJ/mol of formula units) = 86

Cell lengths 3.1439, 4.3900, 5.1948 Å; angles 115.00, 107.61, 90.00 degrees
Fractional positions:
Cr  0.5000  0.0000  0.0000
Mo  0.7684  0.7684  0.5369
Mo  0.2316  0.2316  0.4631
In  0.0000  0.5000  0.0000